# 1
A plane-wave DFT calculation with GGA-PBE was carried out for an optimized crystal structure of AcPrGaGe.

a = 7.643 Å, b = 7.643 Å, c = 7.643 Å
α = 90.00°, β = 90.00°, γ = 90.00°
Space group F-43m (No. 216)
One atom of each set of equivalent atoms:
Ac (0.000, 0.000, 0.000) x4
Pr (0.000, 0.000, 0.500) x4
Ga (0.250, 0.250, 0.250) x4
Ge (0.250, 0.250, 0.750) x4

ΔE_f	-0.506	eV per atom

=====

# 2
A plane-wave DFT calculation with GGA-PBE was carried out for an optimized crystal structure of BC3.

a = 13.614 Å, b = 2.597 Å, c = 4.547 Å
α = 90.00°, β = 108.38°, γ = 90.00°
Space group Cm (No. 8)
One atom of each set of equivalent atoms:
B (0.000, 0.000, 0.000) x2
B (0.029, 0.500, 0.537) x2
B (0.176, 0.000, 0.188) x2
C (0.156, 0.500, 0.666) x2
C (0.194, 0.000, 0.863) x2
C (0.195, 0.500, 0.385) x2
C (0.317, 0.000, 0.989) x2
C (0.318, 0.500, 0.492) x2
C (0.358, 0.000, 0.694) x2
C (0.359, 0.500, 0.196) x2
C (0.478, 0.000, 0.812) x2
C (0.479, 0.500, 0.313) x2

ΔE_f	0.337	eV per atom

=====

# 3
A plane-wave DFT calculation with GGA-PBE was carried out for an optimized crystal structure of La3HgPb.

a = 3.726 Å, b = 9.393 Å, c = 10.570 Å
α = 116.30°, β = 90.01°, γ = 90.00°
Space group P1 (No. 1)
One atom of each set of equivalent atoms:
La (0.000, 0.000, 0.000) x1
La (0.000, 0.044, 0.543) x1
La (0.000, 0.423, 0.845) x1
La (0.998, 0.497, 0.542) x1
La (0.999, 0.390, 0.176) x1
La (0.999, 0.786, 0.176) x1
Hg (0.499, 0.693, 0.833) x1
Hg (0.500, 0.142, 0.835) x1
Pb (0.499, 0.155, 0.312) x1
Pb (0.499, 0.702, 0.404) x1

ΔE_f	-0.328	eV per atom

=====

# 4
A plane-wave DFT calculation with GGA-PBE was carried out for an optimized crystal structure of NbCl5.

a = 8.550 Å, b = 11.080 Å, c = 12.274 Å
α = 90.00°, β = 133.85°, γ = 90.00°
Space group P2_1/c (No. 14)
One atom of each set of equivalent atoms:
Nb (0.099, 0.134, 0.150) x4
Cl (0.064, 0.163, 0.608) x4
Cl (0.095, 0.599, 0.630) x4
Cl (0.244, 0.612, 0.439) x4
Cl (0.273, 0.120, 0.397) x4
Cl (0.420, 0.123, 0.204) x4

raw formation energy	-1.237	eV/atom

=====

How do the records compare in DOS(E_F)? In the order shown, they have 8.2; 2.4; 9.9; 0.0 states/eV per cell.
How do the records compare in total DFT energy (no corrections)? In the order shown, they have -4.6393; -8.2500; -4.0865; -4.4541 eV per atom.
How do the records compare in total moment? In the order shown, they have 0.00; 0.00; 0.00; 0.00 μB per atom.